# 1
VASP calculation (GGA-PBE) on a relaxed Ba2MgRe crystal.

```
4
Lattice="5.038 0.000 0.000 0.000 3.371 0.176 0.000 1.200 7.723" Properties=species:S:1:pos:R:3 pbc="T T T"
Ba 0.000 4.423 7.318
Ba 2.519 1.287 2.624
Mg 0.000 2.881 4.323
Re 2.519 2.838 5.483
```

## Properties
Density of states at the Fermi level: 3.8 states/eV per cell
Total magnetization: 0.0 Bohr magnetons per cell
E_form: 0.845 eV/atom

# 2
VASP calculation (GGA-PBE) on a relaxed AlAuBr2 crystal.

```
4
Lattice="-4.869 4.541 2.750 -2.909 0.808 6.541 5.964 -0.874 -3.945" Properties=species:S:1:pos:R:3 pbc="T T T"
Br 0.000 0.000 0.000
Al -3.889 2.675 4.646
Br -0.417 1.304 3.620
Au -1.397 3.171 1.725
```

## Properties
Density of states at the Fermi level: 1.3 states/eV per cell
Energy above the most stable polymorph in this dataset: 660 meV per atom
Total magnetization: 0.0 Bohr magnetons per cell
Formation energy from raw total energies: 0.076 eV/atom

# 3
VASP calculation (GGA-PBE) on a relaxed Nd8Sm3Tl crystal.

```
12
Lattice="7.662 -0.524 -3.661 -4.488 7.134 -1.163 -0.330 0.524 8.485" Properties=species:S:1:pos:R:3 pbc="T T T"
Sm -2.409 3.829 3.661
Nd -1.303 2.072 5.911
Sm 2.462 1.914 4.243
Nd 0.118 2.781 1.854
Nd 5.104 0.573 -1.807
Tl 0.000 0.000 0.000
Nd -4.127 6.560 4.239
Nd 0.095 5.586 3.786
Nd 2.585 1.809 0.125
Sm 0.383 5.219 -0.582
Nd -3.068 4.877 6.697
Nd -3.350 5.325 1.162
```

## Properties
Density of states at the Fermi level: 18.5 states/eV per cell
Total magnetization: 0.0 Bohr magnetons per cell
E_form: 0.438 eV/atom

> The highest density of states at the Fermi level belongs to which entry?

Nd8Sm3Tl